(1)
Density functional theory data (GGA-PBE) for crystalline BeAlFe2H at its relaxed geometry.

Computed properties:
Calculated total energy in eV/f.u.: -28.26
Mass density in g cm⁻³: 5.49

Cell lengths 3.6973, 3.6973, 3.2884 Å; angles 90.00, 90.00, 90.00 degrees
Closest atoms and distances in Å follow each position.
Atoms (fractional coordinates):
Fe1 0.0000 0.5000 0.0000  2 H 1.85
Fe2 0.5000 0.0000 0.0000  2 H 1.85
H1 0.0000 0.0000 0.0000  2 Be 1.64
Be1 0.0000 0.0000 0.5000  2 H 1.64
Al1 0.5000 0.5000 0.5000  8 Fe 2.47, 4 Be 2.61

(2)
Density functional theory data (GGA-PBE) for crystalline Be2AlFeHg at its relaxed geometry.

Computed properties:
Mass density in g cm⁻³: 5.54
E_form in meV per atom: 1305

Cell lengths 4.2748, 4.9462, 4.2748 Å; angles 90.00, 90.00, 90.00 degrees
Closest atoms and distances in Å follow each position.
Atoms (fractional coordinates):
Be1 0.0000 0.0000 0.5000  2 Hg 2.14
Be2 0.5000 0.0000 0.0000  2 Hg 2.14
Fe1 0.0000 0.5000 0.0000  2 Hg 2.47
Al1 0.5000 0.5000 0.5000  4 Fe 3.02, 8 Be 3.27
Hg1 0.0000 0.0000 0.0000  4 Be 2.14

(3)
Density functional theory data (GGA-PBE) for crystalline LaBeAl2Fe at its relaxed geometry.

Computed properties:
Mass density in g cm⁻³: 4.76
E_form in meV per atom: -249

Cell lengths 4.5258, 4.5258, 4.3875 Å; angles 90.00, 90.00, 90.00 degrees
Closest atoms and distances in Å follow each position.
Atoms (fractional coordinates):
Fe1 0.0000 0.0000 0.0000  2 Be 2.19, 4 Al 2.26
La1 0.5000 0.5000 0.5000  8 Al 3.15, 4 Be 3.20
Al1 0.0000 0.5000 0.0000  2 Fe 2.26
Al2 0.5000 0.0000 0.0000  2 Fe 2.26
Be1 0.0000 0.0000 0.5000  2 Fe 2.19

What did the third record say?
Density functional theory data (GGA-PBE) for crystalline LaBeAl2Fe at its relaxed geometry.

Computed properties:
Mass density in g cm⁻³: 4.76
E_form in meV per atom: -249

Cell lengths 4.5258, 4.5258, 4.3875 Å; angles 90.00, 90.00, 90.00 degrees
Closest atoms and distances in Å follow each position.
Atoms (fractional coordinates):
Fe1 0.0000 0.0000 0.0000  2 Be 2.19, 4 Al 2.26
La1 0.5000 0.5000 0.5000  8 Al 3.15, 4 Be 3.20
Al1 0.0000 0.5000 0.0000  2 Fe 2.26
Al2 0.5000 0.0000 0.0000  2 Fe 2.26
Be1 0.0000 0.0000 0.5000  2 Fe 2.19

The lowest mass density belongs to which entry? LaBeAl2Fe

Look up the mass density of the second one. 5.54 g cm⁻³